# 1
Here is crystalline Ce12Pt6N at its relaxed geometry from Alexandria. Energies are from GGA-PBE.

**DOS(E_F)**: 2.650 states/eV per atom
**Calculated total energy**: -0.5012 Ry/atom

Unit cell a=7.764 b=7.764 c=7.764 alpha=97.36 beta=97.36 gamma=97.36
Each line ends with the local moment (μB).
Atoms (fractional coordinates):
Ce (0.841, 0.587, 0.463)  0.43
Ce (0.463, 0.841, 0.587)  0.43
Ce (0.587, 0.463, 0.841)  0.43
Ce (0.159, 0.413, 0.537)  0.43
Ce (0.537, 0.159, 0.413)  0.43
Ce (0.413, 0.537, 0.159)  0.43
Ce (0.997, 0.064, 0.325)  0.59
Ce (0.936, 0.675, 0.003)  0.59
Ce (0.675, 0.003, 0.936)  0.59
Ce (0.003, 0.936, 0.675)  0.59
Ce (0.064, 0.325, 0.997)  0.59
Ce (0.325, 0.997, 0.064)  0.59
Pt (0.668, 0.837, 0.269)  -0.01
Pt (0.731, 0.332, 0.163)  -0.01
Pt (0.163, 0.731, 0.332)  -0.01
Pt (0.332, 0.163, 0.731)  -0.01
Pt (0.269, 0.668, 0.837)  -0.01
Pt (0.837, 0.269, 0.668)  -0.01
N (0.000, 0.000, 0.000)  -0.04

# 2
Here is crystalline SmZn10Ni2 at its relaxed geometry from Alexandria. Energies are from GGA-PBE.

**DOS(E_F)**: 0.443 states/eV per atom
**Energy relative to the elements**: -0.23 eV/atom

Unit cell a=5.008 b=6.775 c=6.789 alpha=82.16 beta=68.35 gamma=68.31
Atoms (fractional coordinates):
Sm (0.000, 0.000, 0.000)
Zn (0.348, 0.636, 0.667)
Zn (0.652, 0.364, 0.333)
Zn (0.985, 0.364, 0.667)
Zn (0.015, 0.636, 0.333)
Zn (0.000, 0.000, 0.500)
Zn (0.500, 0.000, 0.500)
Zn (0.280, 0.229, 0.211)
Zn (0.720, 0.771, 0.789)
Zn (0.509, 0.771, 0.211)
Zn (0.491, 0.229, 0.789)
Ni (0.000, 0.500, 0.000)
Ni (0.500, 0.500, 0.000)

# 3
Here is crystalline ZrTi2C2 at its relaxed geometry from Alexandria. Energies are from GGA-PBE.

**DOS(E_F)**: 0.442 states/eV per atom
**Energy relative to the elements**: -0.66 eV/atom

Unit cell a=3.195 b=3.195 c=7.875 alpha=78.30 beta=78.30 gamma=60.00
Atoms (fractional coordinates):
Zr (0.000, 0.000, 0.000)
Ti (0.224, 0.224, 0.327)
Ti (0.776, 0.776, 0.673)
C (0.602, 0.602, 0.193)
C (0.398, 0.398, 0.807)

# 4
Here is crystalline Ce2ErTmBi5 at its relaxed geometry from Alexandria. Energies are from GGA-PBE.

**DOS(E_F)**: 1.984 states/eV per atom
**Energy relative to the elements**: -0.11 eV/atom

Unit cell a=5.415 b=5.415 c=11.778 alpha=90.00 beta=90.00 gamma=90.00
Each line ends with the local moment (μB).
Atoms (fractional coordinates):
Ce (0.500, 0.500, 0.284)  0.99
Ce (0.500, 0.500, 0.716)  0.99
Er (0.000, 0.000, 0.000)  -0.02
Tm (0.000, 0.000, 0.500)  -0.01
Bi (0.000, 0.500, 0.500)  -0.01
Bi (0.500, 0.000, 0.500)  -0.01
Bi (0.000, 0.000, 0.753)  -0.02
Bi (0.000, 0.000, 0.247)  -0.02
Bi (0.500, 0.500, 0.000)  -0.02

# 5
Here is crystalline Pr3HoGe2 at its relaxed geometry from Alexandria. Energies are from GGA-PBE.

**DOS(E_F)**: 1.029 states/eV per atom
**Energy relative to the elements**: -0.60 eV/atom

Unit cell a=4.473 b=4.606 c=8.897 alpha=105.00 beta=104.52 gamma=90.00
Each line ends with the local moment (μB).
Atoms (fractional coordinates):
Pr (0.500, 0.500, 0.000)  0.01
Pr (0.819, 0.319, 0.638)  0.07
Pr (0.181, 0.681, 0.362)  0.07
Ho (0.000, 0.000, 0.000)  0.00
Ge (0.368, 0.868, 0.736)  -0.01
Ge (0.632, 0.132, 0.264)  -0.01

# 6
Here is crystalline NaYbO2 at its relaxed geometry from Alexandria. Energies are from GGA-PBE.

**DOS(E_F)**: 1.115 states/eV per atom
**Calculated total energy**: -0.3833 Ry/atom

Unit cell a=3.404 b=3.404 c=5.839 alpha=73.05 beta=73.05 gamma=60.00
Each line ends with the local moment (μB).
Atoms (fractional coordinates):
Na (0.500, 0.500, 0.500)  0.00
Yb (0.000, 0.000, 0.000)  0.01
O (0.741, 0.741, 0.778)  0.41
O (0.259, 0.259, 0.222)  0.41

# 7
Here is crystalline NdSnAs2 at its relaxed geometry from Alexandria. Energies are from GGA-PBE.

**DOS(E_F)**: 0.579 states/eV per atom
**Energy relative to the elements**: -0.60 eV/atom

Unit cell a=3.903 b=4.918 c=4.918 alpha=90.00 beta=90.00 gamma=90.00
Atoms (fractional coordinates):
As (0.000, 0.000, 0.500)
As (0.000, 0.500, 0.000)
Nd (0.500, 0.000, 0.000)
Sn (0.500, 0.500, 0.500)

# 8
Here is crystalline Al2SnPdCl at its relaxed geometry from Alexandria. Energies are from GGA-PBE.

**DOS(E_F)**: 0.502 states/eV per atom
**Calculated total energy**: -0.2241 Ry/atom

Unit cell a=4.785 b=5.265 c=4.785 alpha=90.00 beta=90.00 gamma=90.00
Atoms (fractional coordinates):
Al (0.000, 0.000, 0.500)
Al (0.500, 0.000, 0.000)
Sn (0.000, 0.500, 0.000)
Pd (0.500, 0.500, 0.500)
Cl (0.000, 0.000, 0.000)